Entry 1:
This record from Alexandria via LeMat-Bulk describes a relaxed structure of CrBRh. The functional is PBE-GGA.

- Crystal system: monoclinic
- Formation enthalpy at 0 K: -0.103 eV per atom
- Symmetry: C2/m, No. 12

```
data_CrBRh
_cell_length_a 3.541
_cell_length_b 3.155
_cell_length_c 7.573
_cell_angle_alpha 84.06
_cell_angle_beta 76.48
_cell_angle_gamma 55.86
_space_group_name_H-M_alt 'P 1'
_space_group_IT_number 1
loop_
_space_group_symop_operation_xyz
'x,y,z'
loop_
_atom_site_label
_atom_site_type_symbol
_atom_site_fract_x
_atom_site_fract_y
_atom_site_fract_z
B1 B 0.505 0.727 0.263
B2 B 0.495 0.273 0.737
Rh1 Rh 0.222 0.413 0.143
Rh2 Rh 0.778 0.587 0.857
Cr1 Cr 0.228 0.954 0.589
Cr2 Cr 0.772 0.046 0.411
```

---

Entry 2:
This record from Alexandria via LeMat-Bulk describes a relaxed structure of FeCo2Si. The functional is PBE-GGA.

- Crystal system: orthorhombic
- Symmetry: Pmmm, No. 47
- Energy relative to the elements, uncorrected: -0.2142 eV per atom

```
data_FeCo2Si
_cell_length_a 2.764
_cell_length_b 3.997
_cell_length_c 3.937
_cell_angle_alpha 90.00
_cell_angle_beta 90.00
_cell_angle_gamma 90.00
_space_group_name_H-M_alt 'P 1'
_space_group_IT_number 1
loop_
_space_group_symop_operation_xyz
'x,y,z'
loop_
_atom_site_label
_atom_site_type_symbol
_atom_site_fract_x
_atom_site_fract_y
_atom_site_fract_z
Fe1 Fe 0.500 0.000 0.500
Si1 Si 0.000 0.500 0.500
Co1 Co 0.500 0.500 0.000
Co2 Co 0.000 0.000 0.000
```

---

For each record above, in turn, the calculated V values are 34.0 43.5 Å³/f.u..
For each record above, in turn, the calculated total energy values are -7.987 -7.239 eV per atom.